This record from the Alexandria database describes a geometry-optimized KMoAs2Se structure. The functional is PBE.

Unit cell a=5.099 b=5.099 c=5.257 alpha=90.00 beta=90.00 gamma=90.00
Sites, in units of the cell vectors:
1 K 0.000 0.000 0.000
2 Mo 0.500 0.500 0.500
3 As 0.000 0.500 0.000
4 As 0.500 0.000 0.000
5 Se 0.000 0.000 0.500

Summary:
Energy ... -2.7266 eV/atom
M_tot ... 0.000 μB/atom
Formation energy (no corrections) ... 2.2158 eV per atom
Fermi-level density of states ... 13.90 states/eV per cell
Density ... 4.42 g/cm3